1.
! PBE GdScZn2Sn2, optimized geometry; values from VASP
&SYSTEM
  ibrav = 0, nat = 12, ntyp = 4
/
ATOMIC_SPECIES
Gd 157.25 Gd.upf
Sn 118.71 Sn.upf
Zn 65.41 Zn.upf
Sc 44.96 Sc.upf
CELL_PARAMETERS angstrom
-0.8380 -1.6624 4.0920
2.8634 -2.1177 -2.7434
11.4334 8.1416 5.6491
ATOMIC_POSITIONS angstrom
Gd 2.8584 2.0354 1.4123
Sn 4.9056 1.3972 4.0417
Sn 8.5533 2.9644 2.9559
Zn 3.3951 -0.7088 0.4073
Sn 1.6028 -0.9547 2.4099
Zn 10.0638 5.0703 6.5903
Sn 11.8561 5.3163 4.5878
Gd 8.5751 6.1062 4.2368
Zn 5.5809 0.8477 1.4873
Sc 5.7167 4.0708 2.8245
Zn 7.8780 3.5138 5.5103
Sc 0.0000 0.0000 0.0000
! **M_tot**: 0.00 μB/cell
! **Theoretical density**: 7.2 g cm⁻³
! **Excess energy over the best structure of this formula in the dataset**: 18 meV per atom
! **VASP energy**: -4.11 eV per atom
! **Symmetry**: P6_3/mmc, No. 194



2.
! PBE La2Nd2Se3O4, optimized geometry; values from VASP
&SYSTEM
  ibrav = 0, nat = 11, ntyp = 4
/
ATOMIC_SPECIES
Se 78.96 Se.upf
O 16.00 O.upf
La 138.91 La.upf
Nd 144.24 Nd.upf
CELL_PARAMETERS angstrom
8.4625 0.0000 0.0000
0.0000 2.0292 6.5426
0.0000 -2.0292 6.5426
ATOMIC_POSITIONS angstrom
Se 4.2313 0.0000 9.0165
Se 7.1889 0.0000 8.4296
O 6.2969 0.0000 11.8865
Se 1.2736 0.0000 8.4296
O 4.2313 0.0000 5.3747
O 2.1656 0.0000 11.8865
O 0.0000 0.0000 4.9930
La 0.0000 0.0000 12.8417
La 4.2313 0.0000 13.0729
Nd 6.2359 0.0000 4.1089
Nd 2.2266 0.0000 4.1089
! **M_tot**: 0.00 μB/cell
! **Theoretical density**: 6.4 g cm⁻³
! **VASP energy**: -7.33 eV per atom
! **Symmetry**: Amm2, No. 38



Look up the theoretical density of the second one.
6.4 g cm⁻³



Which of these has the highest VASP energy?
GdScZn2Sn2



What did the first record say?
! PBE GdScZn2Sn2, optimized geometry; values from VASP
&SYSTEM
  ibrav = 0, nat = 12, ntyp = 4
/
ATOMIC_SPECIES
Gd 157.25 Gd.upf
Sn 118.71 Sn.upf
Zn 65.41 Zn.upf
Sc 44.96 Sc.upf
CELL_PARAMETERS angstrom
-0.8380 -1.6624 4.0920
2.8634 -2.1177 -2.7434
11.4334 8.1416 5.6491
ATOMIC_POSITIONS angstrom
Gd 2.8584 2.0354 1.4123
Sn 4.9056 1.3972 4.0417
Sn 8.5533 2.9644 2.9559
Zn 3.3951 -0.7088 0.4073
Sn 1.6028 -0.9547 2.4099
Zn 10.0638 5.0703 6.5903
Sn 11.8561 5.3163 4.5878
Gd 8.5751 6.1062 4.2368
Zn 5.5809 0.8477 1.4873
Sc 5.7167 4.0708 2.8245
Zn 7.8780 3.5138 5.5103
Sc 0.0000 0.0000 0.0000
! **M_tot**: 0.00 μB/cell
! **Theoretical density**: 7.2 g cm⁻³
! **Excess energy over the best structure of this formula in the dataset**: 18 meV per atom
! **VASP energy**: -4.11 eV per atom
! **Symmetry**: P6_3/mmc, No. 194